Compound: Pu2TiGe
Source: the Alexandria database
Functional: PBE
Structure: relaxed

The calculation puts the formation energy from the elements at 18 kJ/mol of formula units. As for the space group: No. 123. The calculation puts the total energy at -41.0 eV/cell. As for the magnetic moment: 0.75 μB/cell.

```
Pu2TiGe
1.0
-2.458 -0.144 -4.358
-0.472 -3.592 0.385
-3.139 0.600 1.750
Pu Ti Ge
2 1 1
direct
0.000 0.000 0.500 Pu
0.000 0.500 0.000 Pu
0.500 0.000 0.000 Ti
0.500 0.500 0.500 Ge
```

Compound: PuTiGe2
Source: the Alexandria database
Functional: PBE
Structure: relaxed

The calculation puts the formation energy from the elements at -176 kJ/mol of formula units. As for the space group: No. 47. The calculation puts the total energy at -33.3 eV/cell. As for the distance to the lowest polymorph of the same formula: 0 meV/atom. As for the magnetic moment: 5.82 μB/cell.

```
PuTiGe2
1.0
3.933 0.000 0.000
0.000 2.956 0.000
0.000 0.000 6.415
Ti Pu Ge
1 1 2
direct
0.500 0.500 0.250 Ti
0.500 0.500 0.750 Pu
0.000 0.000 0.461 Ge
0.000 0.000 0.039 Ge
```

Compound: Pu6TlGe2
Source: the Alexandria database
Functional: PBE
Structure: relaxed

The calculation puts the formation energy from the elements at -14 kJ/mol of formula units. As for the space group: No. 191. The calculation puts the total energy at -97.7 eV/cell. As for the magnetic moment: 36.11 μB/cell.

```
Pu6TlGe2
1.0
-2.634 0.413 1.795
-1.522 -8.702 -0.233
4.943 3.450 6.462
Pu Ge Tl
6 2 1
direct
0.500 0.340 0.340 Pu
0.500 0.660 0.660 Pu
0.500 0.660 0.000 Pu
0.500 0.000 0.660 Pu
0.500 0.340 0.000 Pu
0.500 0.000 0.340 Pu
0.000 0.667 0.333 Ge
0.000 0.333 0.667 Ge
0.000 0.000 0.000 Tl
```

Compound: PuTl2Ge
Source: the Alexandria database
Functional: PBE
Structure: relaxed

The calculation puts the formation energy from the elements at -39 kJ/mol of formula units. As for the space group: No. 123. The calculation puts the total energy at -24.1 eV/cell. As for the magnetic moment: 5.66 μB/cell.

```
PuTl2Ge
1.0
-3.107 2.723 2.781
-2.515 -3.622 0.737
2.426 -0.944 3.635
Tl Pu Ge
2 1 1
direct
0.000 0.500 0.000 Tl
0.000 0.000 0.500 Tl
0.500 0.000 0.000 Pu
0.500 0.500 0.500 Ge
```

Compound: Pu2TlGe
Source: the Alexandria database
Functional: PBE
Structure: relaxed

The calculation puts the formation energy from the elements at -71 kJ/mol of formula units. As for the space group: No. 123. The calculation puts the total energy at -36.4 eV/cell. As for the magnetic moment: 11.25 μB/cell.

```
Pu2TlGe
1.0
-2.866 -1.918 -2.818
-1.981 -2.299 3.580
-2.997 3.557 0.627
Pu Ge Tl
2 1 1
direct
0.000 0.000 0.500 Pu
0.000 0.500 0.000 Pu
0.500 0.000 0.000 Ge
0.500 0.500 0.500 Tl
```

Compound: Pu4TlGe2
Source: the Alexandria database
Functional: PBE
Structure: relaxed

The calculation puts the formation energy from the elements at -63 kJ/mol of formula units. As for the space group: No. 166. The calculation puts the total energy at -69.6 eV/cell. As for the magnetic moment: 1.19 μB/cell.

```
Pu4TlGe2
1.0
3.615 0.000 0.000
1.808 3.131 0.000
1.808 1.044 13.129
Pu Tl Ge
4 1 2
direct
0.235 0.235 0.295 Pu
0.601 0.601 0.197 Pu
0.399 0.399 0.803 Pu
0.765 0.765 0.705 Pu
0.000 0.000 0.000 Tl
0.150 0.150 0.550 Ge
0.850 0.850 0.450 Ge
```

Compound: PuTlGe
Source: the Alexandria database
Functional: PBE
Structure: relaxed

The calculation puts the formation energy from the elements at -11 kJ/mol of formula units. As for the space group: No. 156. The calculation puts the total energy at -21.4 eV/cell. As for the distance to the lowest polymorph of the same formula: 131 meV/atom. As for the magnetic moment: 5.66 μB/cell.

```
PuTlGe
1.0
3.337 0.000 0.000
0.000 5.027 0.000
0.000 -2.513 4.353
Ge Tl Pu
1 1 1
direct
0.164 0.667 0.333 Ge
0.169 0.000 0.000 Tl
0.667 0.333 0.667 Pu
```

Compound: Pu2TlGe
Source: the Alexandria database
Functional: PBE
Structure: relaxed

The calculation puts the formation energy from the elements at -86 kJ/mol of formula units. As for the space group: No. 123. The calculation puts the total energy at -36.5 eV/cell. As for the magnetic moment: 11.74 μB/cell.

```
Pu2TlGe
1.0
-1.450 2.852 -1.605
-2.809 -0.182 2.212
3.698 4.742 5.086
Tl Pu Ge
1 2 1
direct
0.500 0.500 0.500 Tl
0.000 0.000 0.789 Pu
0.000 0.000 0.211 Pu
0.500 0.500 0.000 Ge
```

Compound: Pu2TlGe
Source: the Alexandria database
Functional: PBE
Structure: relaxed

The calculation puts the formation energy from the elements at -18 kJ/mol of formula units. As for the space group: No. 166. The calculation puts the total energy at -35.8 eV/cell. As for the magnetic moment: 11.64 μB/cell.

```
Pu2TlGe
1.0
-0.843 -3.394 0.025
0.068 -1.797 3.000
-9.795 0.651 2.652
Ge Tl Pu
1 1 2
direct
0.000 0.000 0.000 Ge
0.500 0.500 0.500 Tl
0.260 0.260 0.219 Pu
0.740 0.740 0.781 Pu
```

Compound: Pu4TlGe
Source: the Alexandria database
Functional: PBE
Structure: relaxed

The calculation puts the formation energy from the elements at 14 kJ/mol of formula units. As for the space group: No. 71. The calculation puts the total energy at -64.2 eV/cell. As for the magnetic moment: 24.11 μB/cell.

```
Pu4TlGe
1.0
4.732 0.002 1.740
2.487 5.557 0.535
0.505 -1.380 5.932
Pu Ge Tl
4 1 1
direct
0.759 0.577 0.906 Pu
0.241 0.094 0.423 Pu
0.759 0.906 0.577 Pu
0.241 0.423 0.094 Pu
0.500 0.500 0.500 Ge
0.000 0.000 0.000 Tl
```

Compound: Pu3TlGe2
Source: the Alexandria database
Functional: PBE
Structure: relaxed

The calculation puts the formation energy from the elements at -175 kJ/mol of formula units. As for the space group: No. 123. The calculation puts the total energy at -56.4 eV/cell. As for the magnetic moment: 5.65 μB/cell.

```
Pu3TlGe2
1.0
3.282 0.000 0.000
0.000 3.282 0.000
0.000 0.000 13.100
Tl Pu Ge
1 3 2
direct
0.500 0.500 0.500 Tl
0.000 0.000 0.690 Pu
0.000 0.000 0.310 Pu
0.000 0.000 0.000 Pu
0.500 0.500 0.843 Ge
0.500 0.500 0.157 Ge
```

Compound: PuTlGe
Source: the Alexandria database
Functional: PBE
Structure: relaxed

The calculation puts the formation energy from the elements at -50 kJ/mol of formula units. As for the space group: No. 63. The calculation puts the total energy at -43.7 eV/cell. As for the distance to the lowest polymorph of the same formula: 0 meV/atom. As for the magnetic moment: 11.86 μB/cell.

```
PuTlGe
1.0
4.275 0.000 0.000
0.000 3.538 0.000
0.000 1.769 10.003
Pu Tl Ge
2 2 2
direct
0.750 0.095 0.810 Pu
0.250 0.905 0.190 Pu
0.750 0.295 0.411 Tl
0.250 0.705 0.589 Tl
0.250 0.537 0.926 Ge
0.750 0.463 0.074 Ge
```